The following is a DFT calculation (GGA-PBE) of an optimized crystal structure of RbLiAu2Se.

a = 5.232 Å, b = 6.109 Å, c = 5.232 Å
α = 90.00°, β = 90.00°, γ = 90.00°
Sites, in units of the cell vectors:
1 Li 0.500 0.500 0.500
2 Au 0.500 0.000 0.000
3 Au 0.000 0.000 0.500
4 Rb 0.000 0.500 0.000
5 Se 0.000 0.000 0.000

Magnetization   0.00 μB per cell
Crystal system   tetragonal
ΔE_f (raw)   0.075 eV/atom
Density of states at the Fermi level   2.51 states/eV/cell
Space-group type   P4/mmm
E   -2.51 eV/atom

***

The following is a DFT calculation (GGA-PBE) of an optimized crystal structure of Rb2LiAuSe.

a = 6.635 Å, b = 6.635 Å, c = 4.713 Å
α = 90.00°, β = 90.00°, γ = 90.00°
Sites, in units of the cell vectors:
1 Rb 0.500 0.000 0.000
2 Rb 0.000 0.500 0.000
3 Se 0.000 0.000 0.000
4 Li 0.000 0.000 0.500
5 Au 0.500 0.500 0.500

Magnetization   0.00 μB per cell
Crystal system   tetragonal
ΔE_f (raw)   -0.685 eV/atom
Density of states at the Fermi level   0.00 states/eV/cell
Space-group type   P4/mmm
E   -2.81 eV/atom

***

The following is a DFT calculation (GGA-PBE) of an optimized crystal structure of RbLi2SiAu.

a = 5.137 Å, b = 5.137 Å, c = 4.826 Å
α = 90.00°, β = 90.00°, γ = 90.00°
Sites, in units of the cell vectors:
1 Si 0.000 0.000 0.000
2 Li 0.500 0.000 0.000
3 Li 0.000 0.500 0.000
4 Rb 0.500 0.500 0.500
5 Au 0.000 0.000 0.500

Magnetization   0.00 μB per cell
Crystal system   tetragonal
ΔE_f (raw)   -0.165 eV/atom
Density of states at the Fermi level   0.73 states/eV/cell
Space-group type   P4/mmm
E   -2.86 eV/atom

***

The following is a DFT calculation (GGA-PBE) of an optimized crystal structure of RbLi2Si2Au2.

a = 4.464 Å, b = 4.467 Å, c = 8.939 Å
α = 104.32°, β = 90.00°, γ = 119.98°
Sites, in units of the cell vectors:
1 Au 0.767 0.533 0.304
2 Au 0.233 0.467 0.696
3 Rb 0.000 0.000 0.000
4 Li 0.870 0.740 0.605
5 Li 0.130 0.260 0.395
6 Si 0.550 0.100 0.647
7 Si 0.450 0.900 0.353

Magnetization   0.00 μB per cell
Crystal system   monoclinic
ΔE_f (raw)   -0.353 eV/atom
Density of states at the Fermi level   2.32 states/eV/cell
Space-group type   C2/m
E   -3.52 eV/atom

***

What is the magnetization in the first record?
0.00 μB per cell

***

What is the density of states at the Fermi level in the third record?
0.73 states/eV/cell